Record 1
Density functional theory data (PBE) for a relaxed PmDy5Er crystal.

Unit cell a=7.8915 b=7.8915 c=7.8915 alpha=137.18 beta=113.97 gamma=81.96
Last column: nearest neighbours and their distance in Å.
Fractional coordinates of all 7 atoms:
1 Pm 0.0000 0.0000 0.0000  6 Dy 2.77-2.92
2 Dy 0.0000 0.5000 0.5000  2 Pm 2.88
3 Dy 0.2449 0.2449 0.0000  1 Pm 2.92, 1 Er 3.04
4 Dy 0.3223 0.0000 0.3223  1 Pm 2.77, 1 Dy 3.06
5 Dy 0.6777 0.0000 0.6777  1 Pm 2.77, 1 Dy 3.06
6 Dy 0.7551 0.7551 0.0000  1 Pm 2.92, 1 Er 3.04
7 Er 0.5000 0.5000 0.0000  6 Dy 3.04-3.26

Its symmetry is Immm, No. 71.

Record 2
Density functional theory data (PBE) for a relaxed PmDy7Er12 crystal.

Unit cell a=9.6847 b=9.6847 c=9.6847 alpha=109.47 beta=109.47 gamma=109.47
Last column: nearest neighbours and their distance in Å.
Fractional coordinates of all 20 atoms:
1 Pm 0.0000 0.0000 0.0000  12 Er 4.02
2 Dy 0.0000 0.0000 0.5000  6 Er 2.80
3 Dy 0.0000 0.5000 0.0000  6 Er 2.80
4 Dy 0.0000 0.5000 0.5000  12 Er 3.89-3.96
5 Dy 0.5000 0.0000 0.0000  6 Er 2.80
6 Dy 0.5000 0.0000 0.5000  12 Er 3.89-3.96
7 Dy 0.5000 0.5000 0.0000  12 Er 3.89-3.96
8 Dy 0.5000 0.5000 0.5000  6 Er 2.80
9 Er 0.0008 0.2543 0.7464  2 Dy 2.80
10 Er 0.2543 0.2536 0.5079  2 Dy 2.80
11 Er 0.2536 0.5079 0.2543  2 Dy 2.80
12 Er 0.2543 0.7464 0.0008  2 Dy 2.80
13 Er 0.2536 0.9992 0.7457  2 Dy 2.80
14 Er 0.4921 0.7457 0.7464  2 Dy 2.80
15 Er 0.5079 0.2543 0.2536  2 Dy 2.80
16 Er 0.7464 0.0008 0.2543  2 Dy 2.80
17 Er 0.7457 0.2536 0.9992  2 Dy 2.80
18 Er 0.7464 0.4921 0.7457  2 Dy 2.80
19 Er 0.7457 0.7464 0.4921  2 Dy 2.80
20 Er 0.9992 0.7457 0.2536  2 Dy 2.80

Its symmetry is Im-3, No. 204.

no.,energy above the most stable polymorph in this dataset (eV per atom),N(E_F) (states/eV/atom)
1,0.896,1.179
2,0.414,1.234